This record from Alexandria describes an optimized crystal structure of Pu3Np3ScS8. The functional is GGA-PBE.

**Energy**: -9.6681 eV/atom
**Density of states at the Fermi level**: 53.9 states/eV per cell
**Calculated volume**: 335.88 Å³/cell
**Energy relative to the elements, uncorrected**: -1590 meV per atom

Unit cell a=7.7934 b=7.7758 c=7.8171 alpha=119.83 beta=90.12 gamma=119.92
With the nearest neighbours (Å) after each atom.
Fractional positions:
S1 0.7584 0.9992 0.7401  1 Sc 2.66, 2 Np 2.75, 2 Pu 2.76
S2 0.7563 0.5160 0.2615  1 Sc 2.67, 2 Np 2.74-2.75, 2 Pu 2.77-2.79
Sc1 0.0000 0.0000 0.5000  6 S 2.66-2.67
S3 0.7476 0.4972 0.7467  3 Np 2.74-2.76, 3 Pu 2.77
Pu1 0.0000 0.5000 0.0000  6 S 2.76-2.79
S4 0.2416 0.0008 0.2599  1 Sc 2.66, 2 Np 2.75, 2 Pu 2.76
S5 0.2524 0.5028 0.2533  3 Np 2.74-2.76, 3 Pu 2.77
Np1 0.0000 0.5000 0.5000  6 S 2.75-2.76
S6 0.2437 0.4840 0.7385  1 Sc 2.67, 2 Np 2.74-2.75, 2 Pu 2.77-2.79
Np2 0.5000 0.5000 0.5000  6 S 2.74-2.75
Np3 0.5000 0.0000 0.5000  6 S 2.74-2.75
Pu2 0.0000 0.0000 0.0000  6 S 2.76-2.79
S7 0.7563 0.0018 0.2615  1 Sc 2.67, 2 Np 2.74-2.75, 2 Pu 2.77-2.79
Pu3 0.5000 0.5000 0.0000  6 S 2.77
S8 0.2437 0.9982 0.7385  1 Sc 2.67, 2 Np 2.74-2.75, 2 Pu 2.77-2.79

---

This record from Alexandria describes an optimized crystal structure of PuNp2ScS5. The functional is GGA-PBE.

**Energy**: -8.6121 eV/atom
**Density of states at the Fermi level**: 38.7 states/eV per cell
**Calculated volume**: 218.24 Å³/cell
**Energy relative to the elements, uncorrected**: -1147 meV per atom

Unit cell a=4.5980 b=4.5980 c=10.3227 alpha=90.00 beta=90.00 gamma=90.00
With the nearest neighbours (Å) after each atom.
Fractional positions:
Np1 0.5000 0.5000 0.6946  9 S 3.05-3.29
S1 0.5000 0.0000 0.5000  2 Sc 2.30
Sc1 0.0000 0.0000 0.5000  6 S 2.30-2.53
Np2 0.5000 0.5000 0.3054  9 S 3.05-3.29
S2 0.0000 0.0000 0.2546  1 Sc 2.53, 1 Pu 2.63
S3 0.0000 0.5000 0.5000  2 Sc 2.30
S4 0.5000 0.5000 0.0000  2 Np 3.15, 4 Pu 3.25
Pu1 0.0000 0.0000 0.0000  2 S 2.63
S5 0.0000 0.0000 0.7454  1 Sc 2.53, 1 Pu 2.63